Entry 1:
{"formula": "La2Ni12P3Au", "functional": "PBE", "state": "optimized geometry", "lattice": [[-5.614, -0.752, 4.564], [-5.640, -3.925, -2.387], [-0.907, -6.564, 3.000]], "species": ["P", "Ni", "Ni", "Ni", "Ni", "P", "Ni", "Ni", "Ni", "P", "La", "Ni", "Ni", "Au", "La", "Ni", "Ni", "Ni"], "frac_coords": [[0.000, 0.000, 0.500], [0.394, 0.869, 0.869], [0.101, 0.660, 0.660], [0.660, 0.101, 0.660], [0.660, 0.660, 0.101], [0.000, 0.500, 0.000], [0.340, 0.340, 0.899], [0.869, 0.394, 0.869], [0.131, 0.606, 0.131], [0.500, 0.000, 0.000], [0.613, 0.613, 0.613], [0.869, 0.869, 0.394], [0.340, 0.899, 0.340], [0.000, 0.000, 0.000], [0.387, 0.387, 0.387], [0.606, 0.131, 0.131], [0.131, 0.131, 0.606], [0.899, 0.340, 0.340]], "formation_enthalpy_0k_ev_per_atom": -0.044, "total_energy_ev_per_atom": -5.529, "space_group": "R-3m (166)"}

=====

Entry 2:
{"formula": "La2Ni4P3Au", "functional": "PBE", "state": "optimized geometry", "lattice": [[4.131, 0.000, 0.000], [0.000, 4.131, 0.000], [0.000, 0.000, 9.586]], "species": ["P", "Au", "Ni", "P", "Ni", "P", "La", "Ni", "Ni", "La"], "frac_coords": [[0.500, 0.000, 0.878], [0.500, 0.500, 0.500], [0.000, 0.500, 0.357], [0.000, 0.500, 0.122], [0.500, 0.000, 0.643], [0.000, 0.000, 0.500], [0.000, 0.500, 0.759], [0.000, 0.000, 0.000], [0.500, 0.500, 0.000], [0.500, 0.000, 0.241]], "formation_enthalpy_0k_ev_per_atom": -0.819, "total_energy_ev_per_atom": -6.068, "space_group": "P-4m2 (115)"}

=====

Entry 3:
{"formula": "LaNiPbAu", "functional": "PBE", "state": "optimized geometry", "lattice": [[5.052, 0.000, 0.000], [2.526, 4.376, 0.000], [2.526, 1.459, 4.125]], "species": ["Pb", "Ni", "La", "Au"], "frac_coords": [[0.250, 0.250, 0.250], [0.000, 0.000, 0.000], [0.750, 0.750, 0.750], [0.500, 0.500, 0.500]], "formation_enthalpy_0k_ev_per_atom": -0.351, "total_energy_ev_per_atom": -4.775, "space_group": "F-43m (216)"}

=====

Entry 4:
{"formula": "LaNiPd2Au", "functional": "PBE", "state": "optimized geometry", "lattice": [[4.724, 0.000, 0.000], [0.000, 4.765, 0.000], [0.000, 0.000, 4.724]], "species": ["Pd", "La", "Au", "Pd", "Ni"], "frac_coords": [[0.000, 0.000, 0.500], [0.500, 0.500, 0.500], [0.000, 0.500, 0.000], [0.500, 0.000, 0.000], [0.000, 0.000, 0.000]], "formation_enthalpy_0k_ev_per_atom": -0.160, "total_energy_ev_per_atom": -5.035, "space_group": "P4/mmm (123)"}

=====

Entry 5:
{"formula": "La2Ni3Pt12Au", "functional": "PBE", "state": "optimized geometry", "lattice": [[7.896, -0.132, -0.093], [3.785, 6.931, -0.093], [3.785, 2.203, 6.573]], "species": ["La", "Pt", "Pt", "Pt", "Pt", "Pt", "Pt", "Ni", "Pt", "La", "Ni", "Pt", "Pt", "Au", "Pt", "Ni", "Pt", "Pt"], "frac_coords": [[0.613, 0.613, 0.613], [0.366, 0.889, 0.366], [0.862, 0.393, 0.862], [0.138, 0.607, 0.138], [0.889, 0.366, 0.366], [0.634, 0.634, 0.111], [0.366, 0.366, 0.889], [0.000, 0.500, 0.000], [0.111, 0.634, 0.634], [0.387, 0.387, 0.387], [0.500, 0.000, 0.000], [0.607, 0.138, 0.138], [0.138, 0.138, 0.607], [0.000, 0.000, 0.000], [0.862, 0.862, 0.393], [0.000, 0.000, 0.500], [0.634, 0.111, 0.634], [0.393, 0.862, 0.862]], "formation_enthalpy_0k_ev_per_atom": 0.027, "total_energy_ev_per_atom": -5.693, "space_group": "R-3m (166)"}

=====

Entry 6:
{"formula": "La2Ni4Sb3Au", "functional": "PBE", "state": "optimized geometry", "lattice": [[-1.133, -3.787, 2.073], [2.507, 1.167, 3.503], [-7.938, 4.639, 4.136]], "species": ["Sb", "Ni", "La", "La", "Ni", "Sb", "Ni", "Ni", "Sb", "Au"], "frac_coords": [[0.000, 0.000, 0.500], [0.000, 0.000, 0.000], [0.500, 0.000, 0.243], [0.000, 0.500, 0.757], [0.500, 0.000, 0.625], [0.500, 0.000, 0.872], [0.500, 0.500, 0.000], [0.000, 0.500, 0.375], [0.000, 0.500, 0.128], [0.500, 0.500, 0.500]], "raw_formation_energy_mev_per_atom": -666, "total_energy_ev_per_atom": -5.528, "space_group": "P-4m2 (115)"}